Compound: AlCo2Au
Source: the Alexandria database
Functional: PBE
Structure: relaxed

As for the density of states at the Fermi level: 3.4 states/eV/f.u. As for the formation energy: -0.123 eV/atom.

```
data_AlCo2Au
_cell_length_a 2.832
_cell_length_b 2.832
_cell_length_c 6.701
_cell_angle_alpha 90.00
_cell_angle_beta 90.00
_cell_angle_gamma 90.00
_space_group_name_H-M_alt 'P 4 m m'
_space_group_IT_number 99
_space_group_name_Hall 'P 4 -2'
loop_
_atom_site_label
_atom_site_type_symbol
_atom_site_fract_x
_atom_site_fract_y
_atom_site_fract_z
_atom_site_occupancy
Al1 Al 0.000 0.000 0.000 1
Co1 Co 0.000 0.000 0.574 1
Co2 Co 0.500 0.500 0.779 1
Au1 Au 0.500 0.500 0.287 1
```